K4Ac3NpS8 | GGA-PBE | relaxed

Cell: 8.956 8.956 8.956 Å, 58.31 58.31 58.31°
Fractional coordinates of all 16 atoms:
K 0.000 0.000 0.000
K 0.000 0.500 0.500
K 0.500 0.000 0.500
K 0.500 0.500 0.000
Ac 0.000 0.000 0.500
Ac 0.000 0.500 0.000
Ac 0.500 0.000 0.000
Np 0.500 0.500 0.500
S 0.239 0.239 0.239
S 0.250 0.729 0.729
S 0.271 0.271 0.750
S 0.271 0.750 0.271
S 0.729 0.250 0.729
S 0.729 0.729 0.250
S 0.750 0.271 0.271
S 0.761 0.761 0.761

- E_form (uncorrected): -40.34 kcal/mol of atoms
- Crystal system: trigonal
- V: 488.24 Å³/cell
- M_tot: 4.0 μB/cell